Compound: SnB4W
Source: the Open Quantum Materials Database
Functional: GGA-PBE
Structure: optimized geometry

```
data_SnB4W
_chemical_formula_sum 'Sn1 B4 W1'
_cell_length_a 3.003
_cell_length_b 3.003
_cell_length_c 8.791
_cell_angle_alpha 90.00
_cell_angle_beta 90.00
_cell_angle_gamma 120.00
_space_group_name_H-M_alt 'P 1'
_space_group_IT_number 1
loop_
_space_group_symop_operation_xyz
'x,y,z'
loop_
_atom_site_label
_atom_site_type_symbol
_atom_site_fract_x
_atom_site_fract_y
_atom_site_fract_z
Sn1 Sn 0.000 0.000 0.500
W1 W 0.000 0.000 0.000
B1 B 0.333 0.667 0.189
B2 B 0.333 0.667 0.811
B3 B 0.667 0.333 0.189
B4 B 0.667 0.333 0.811
```



Compound: Li2Mg2GaSiPt2
Source: the Open Quantum Materials Database
Functional: GGA-PBE
Structure: optimized geometry

```
data_Li2Mg2GaSiPt2
_chemical_formula_sum 'Li2 Mg2 Ga1 Si1 Pt2'
_cell_length_a 4.367
_cell_length_b 4.367
_cell_length_c 6.175
_cell_angle_alpha 90.00
_cell_angle_beta 90.00
_cell_angle_gamma 90.00
_space_group_name_H-M_alt 'P 1'
_space_group_IT_number 1
loop_
_space_group_symop_operation_xyz
'x,y,z'
loop_
_atom_site_label
_atom_site_type_symbol
_atom_site_fract_x
_atom_site_fract_y
_atom_site_fract_z
Pt1 Pt 0.500 0.000 0.262
Pt2 Pt 0.000 0.500 0.738
Mg1 Mg 0.500 0.500 0.500
Mg2 Mg 0.000 0.000 0.000
Li1 Li 0.500 0.000 0.745
Li2 Li 0.000 0.500 0.255
Si1 Si 0.000 0.000 0.500
Ga1 Ga 0.500 0.500 0.000
```



Compound: TaCdRe
Source: the Open Quantum Materials Database
Functional: GGA-PBE
Structure: optimized geometry

```
data_TaCdRe
_chemical_formula_sum 'Ta1 Cd1 Re1'
_cell_length_a 4.452
_cell_length_b 4.452
_cell_length_c 4.452
_cell_angle_alpha 60.00
_cell_angle_beta 60.00
_cell_angle_gamma 60.00
_space_group_name_H-M_alt 'P 1'
_space_group_IT_number 1
loop_
_space_group_symop_operation_xyz
'x,y,z'
loop_
_atom_site_label
_atom_site_type_symbol
_atom_site_fract_x
_atom_site_fract_y
_atom_site_fract_z
Cd1 Cd 0.250 0.250 0.250
Re1 Re 0.000 0.000 0.000
Ta1 Ta 0.750 0.750 0.750
```



Compound: NdSmSO2
Source: the Open Quantum Materials Database
Functional: GGA-PBE
Structure: optimized geometry

```
data_NdSmSO2
_chemical_formula_sum 'Nd1 Sm1 S1 O2'
_cell_length_a 3.930
_cell_length_b 3.930
_cell_length_c 6.766
_cell_angle_alpha 90.00
_cell_angle_beta 90.00
_cell_angle_gamma 120.00
_space_group_name_H-M_alt 'P 1'
_space_group_IT_number 1
loop_
_space_group_symop_operation_xyz
'x,y,z'
loop_
_atom_site_label
_atom_site_type_symbol
_atom_site_fract_x
_atom_site_fract_y
_atom_site_fract_z
Nd1 Nd 0.000 0.000 0.279
O1 O 0.000 0.000 0.632
O2 O 0.667 0.333 0.373
S1 S 0.333 0.667 0.997
Sm1 Sm 0.667 0.333 0.719
```



So what do the calculations give for final energy? Going down the list: -7.1758; -4.0997; -7.5791; -7.8019 eV per atom.
So what do the calculations give for mass density? Going down the list: 8.364; 7.764; 12.766; 6.581 g cm⁻³.